# PBE BaVH2Se, relaxed
# - N(E_F): 0.92 states/eV per atom
# - Uncorrected energy: -19.2 eV per cell
data_BaVH2Se
_chemical_formula_sum 'Ba1 V1 H2 Se1'
_cell_length_a 4.386
_cell_length_b 4.386
_cell_length_c 6.671
_cell_angle_alpha 90.00
_cell_angle_beta 90.00
_cell_angle_gamma 90.00
_symmetry_space_group_name_H-M 'P 4/m m m'
_symmetry_Int_Tables_number 123
_symmetry_space_group_name_Hall '-P 4 2'
loop_
_atom_site_label
_atom_site_type_symbol
_atom_site_fract_x
_atom_site_fract_y
_atom_site_fract_z
_atom_site_occupancy
Ba1 Ba 0.000 0.000 0.000 1
V1 V 0.500 0.500 0.500 1
H1 H 0.000 0.500 0.000 1
Se1 Se 0.000 0.000 0.500 1